Entry 1:
Tb2NdTm: optimized geometry, GGA-PBE.

Cell: 3.5728 3.5728 11.8318 Å, 81.32 81.32 60.00°
Positions (direct):
Nd 0.5000 0.5000 0.5000
Tb 0.7481 0.7481 0.7556
Tb 0.2519 0.2519 0.2444
Tm 0.0000 0.0000 0.0000

=====

Entry 2:
Tb5Nd6Tm: optimized geometry, GGA-PBE.

Cell: 5.1283 10.1677 9.5583 Å, 122.12 105.55 90.03°
Positions (direct):
Tm 0.0000 0.0000 0.0000
Nd 0.8335 0.0830 0.6670
Nd 0.1665 0.4160 0.3330
Nd 0.5000 0.7508 0.0000
Nd 0.8335 0.5840 0.6670
Nd 0.5000 0.2492 0.0000
Nd 0.1665 0.9170 0.3330
Tb 0.0000 0.5000 0.0000
Tb 0.6668 0.6668 0.3335
Tb 0.3332 0.3332 0.6665
Tb 0.3338 0.8338 0.6676
Tb 0.6662 0.1662 0.3324

=====

Entry 3:
Tb6Nd3Tm: optimized geometry, GGA-PBE.

Cell: 6.6161 9.7318 6.6680 Å, 111.48 119.74 90.00°
Positions (direct):
Tb 0.0688 0.6872 0.6278
Tb 0.6366 0.9209 0.2732
Tb 0.4410 0.3128 0.3722
Tb 0.3634 0.0791 0.7268
Tb 0.5590 0.6872 0.6278
Tb 0.9312 0.3128 0.3722
Nd 0.9296 0.3003 0.8592
Nd 0.0000 0.0000 0.0000
Nd 0.0704 0.6997 0.1408
Tm 0.5000 0.5000 0.0000

=====

Entry 4:
Tb6NdTm12: optimized geometry, GGA-PBE.

Cell: 8.4585 8.4585 8.4585 Å, 88.44 88.44 88.44°
Positions (direct):
Tm 0.7806 0.6490 0.9935
Tm 0.7701 0.5465 0.4374
Tm 0.4535 0.5626 0.2299
Tm 0.3510 0.0065 0.2194
Tm 0.2299 0.4535 0.5626
Tm 0.2194 0.3510 0.0065
Tm 0.5626 0.2299 0.4535
Tm 0.9935 0.7806 0.6490
Tm 0.5465 0.4374 0.7701
Tm 0.6490 0.9935 0.7806
Tm 0.4374 0.7701 0.5465
Tm 0.0065 0.2194 0.3510
Tb 0.7458 0.9120 0.3188
Tb 0.9120 0.3188 0.7458
Tb 0.2542 0.0880 0.6812
Tb 0.3188 0.7458 0.9120
Tb 0.6812 0.2542 0.0880
Tb 0.0880 0.6812 0.2542
Nd 0.0000 0.0000 0.0000

=====

Entry 5:
Tb2Nd2Tm: optimized geometry, GGA-PBE.

Cell: 6.3007 8.5529 6.8238 Å, 103.07 90.00 111.61°
Positions (direct):
Tb 0.7800 0.3975 0.1516
Tb 0.2200 0.6025 0.8484
Tb 0.6175 0.3975 0.6516
Tb 0.3825 0.6025 0.3484
Nd 0.0188 0.2012 0.4474
Nd 0.9812 0.7988 0.5526
Nd 0.1824 0.2012 0.9474
Nd 0.8176 0.7988 0.0526
Tm 0.4189 0.0000 0.2500
Tm 0.5811 0.0000 0.7500

=====

Entry 6:
TbNdTm2: optimized geometry, GGA-PBE.

Cell: 3.5584 3.5584 11.7059 Å, 81.26 81.26 60.00°
Positions (direct):
Tb 0.5000 0.5000 0.5000
Tm 0.2490 0.2490 0.2531
Tm 0.7510 0.7510 0.7469
Nd 0.0000 0.0000 0.0000

=====

Entry 7:
Tb7NdTm12: optimized geometry, GGA-PBE.

Cell: 9.6477 9.6477 9.6477 Å, 109.47 109.47 109.47°
Positions (direct):
Tb 0.5000 0.5000 0.5000
Tb 0.0000 0.5000 0.5000
Tb 0.5000 0.0000 0.0000
Tb 0.5000 0.5000 0.0000
Tb 0.0000 0.0000 0.5000
Tb 0.0000 0.5000 0.0000
Tb 0.5000 0.0000 0.5000
Nd 0.0000 0.0000 0.0000
Tm 0.2540 0.5085 0.2544
Tm 0.4915 0.7456 0.7460
Tm 0.7460 0.4915 0.7456
Tm 0.7456 0.7460 0.4915
Tm 0.2544 0.2540 0.5085
Tm 0.7460 0.0004 0.2544
Tm 0.5085 0.2544 0.2540
Tm 0.0004 0.2544 0.7460
Tm 0.2540 0.9996 0.7456
Tm 0.7456 0.2540 0.9996
Tm 0.2544 0.7460 0.0004
Tm 0.9996 0.7456 0.2540

=====

Entry 8:
TbNd2Tm9: optimized geometry, GGA-PBE.

Cell: 3.4785 11.1562 11.1562 Å, 120.00 90.00 90.00°
Positions (direct):
Tm 0.5000 0.6507 0.8253
Tm 0.5000 0.1747 0.3493
Tm 0.0000 0.5000 0.5000
Tm 0.0000 0.5000 0.0000
Tm 0.5000 0.8253 0.1747
Tm 0.5000 0.3493 0.1747
Tm 0.5000 0.1747 0.8253
Tm 0.5000 0.8253 0.6507
Tm 0.0000 0.0000 0.5000
Nd 0.0000 0.3333 0.6667
Nd 0.0000 0.6667 0.3333
Tb 0.0000 0.0000 0.0000

=====

Entry 9:
TbNd14Tm: optimized geometry, GGA-PBE.

Cell: 7.3230 7.3230 10.3516 Å, 90.00 90.00 89.97°
Positions (direct):
Nd 0.8747 0.6247 0.0000
Nd 0.6244 0.8744 0.2476
Nd 0.1256 0.3756 0.7524
Nd 0.8753 0.6253 0.5000
Nd 0.8749 0.1251 0.5000
Nd 0.1254 0.8746 0.2474
Nd 0.3751 0.6249 0.5000
Nd 0.3753 0.1253 0.0000
Nd 0.1254 0.8746 0.7526
Nd 0.6244 0.8744 0.7524
Nd 0.6246 0.3754 0.2477
Nd 0.6246 0.3754 0.7523
Nd 0.3747 0.1247 0.5000
Nd 0.1256 0.3756 0.2476
Tb 0.8751 0.1249 0.0000
Tm 0.3749 0.6251 0.0000

=====

Entry 10:
Tb7Nd12Tm: optimized geometry, GGA-PBE.

Cell: 6.2533 11.5468 11.5468 Å, 116.82 100.40 100.40°
Positions (direct):
Nd 0.9380 0.3537 0.3535
Nd 0.9121 0.4123 0.8242
Nd 0.5842 0.9997 0.6463
Nd 0.5845 0.6465 0.0003
Nd 0.0879 0.5877 0.1758
Nd 0.0879 0.1758 0.5881
Nd 0.0620 0.6463 0.6465
Nd 0.4158 0.0003 0.3537
Nd 0.9121 0.8242 0.4119
Nd 0.5002 0.5881 0.4123
Nd 0.4155 0.3535 0.9997
Nd 0.4998 0.4119 0.5877
Tb 0.8760 0.0004 0.2451
Tb 0.8756 0.2447 0.9996
Tb 0.5000 0.0000 0.0000
Tb 0.1244 0.7553 0.0004
Tb 0.3691 0.2451 0.2447
Tb 0.6309 0.7549 0.7553
Tb 0.1240 0.9996 0.7549
Tm 0.0000 0.0000 0.0000

=====

Entry 11:
TbNd4Tm3: optimized geometry, GGA-PBE.

Cell: 5.0898 10.1374 10.1810 Å, 90.00 90.00 90.00°
Positions (direct):
Nd 0.5644 0.1297 0.0000
Nd 0.0644 0.1295 0.2505
Nd 0.5644 0.8705 0.7505
Nd 0.0644 0.8703 0.5000
Nd 0.0644 0.8698 0.0000
Nd 0.5644 0.1302 0.5000
Nd 0.5644 0.8705 0.2495
Nd 0.0644 0.1295 0.7495
Tm 0.5644 0.3809 0.7499
Tm 0.5644 0.6196 0.0000
Tm 0.5644 0.3809 0.2501
Tm 0.0644 0.6191 0.7501
Tm 0.0644 0.6191 0.2499
Tm 0.0644 0.3804 0.5000
Tb 0.0644 0.3809 0.0000
Tb 0.5644 0.6191 0.5000

=====

Entry 12:
Tb4Nd5Tm2: optimized geometry, GGA-PBE.

Cell: 3.5245 9.1846 12.7683 Å, 111.08 97.93 90.00°
Positions (direct):
Nd 0.1481 0.3504 0.2963
Nd 0.8519 0.0541 0.7037
Nd 0.8519 0.6496 0.7037
Nd 0.5000 0.0000 0.0000
Nd 0.1481 0.9459 0.2963
Tb 0.0000 0.3100 0.0000
Tb 0.0000 0.6900 0.0000
Tb 0.5970 0.5970 0.1939
Tb 0.4030 0.4030 0.8061
Tm 0.2699 0.2699 0.5399
Tm 0.7301 0.7301 0.4601

=====

Entry 13:
TbNd5Tm2: optimized geometry, GGA-PBE.

Cell: 9.2598 9.2598 9.0958 Å, 120.60 120.60 90.00°
Positions (direct):
Nd 0.9862 0.4862 0.6734
Nd 0.6872 0.1872 0.6734
Nd 0.5000 0.5000 0.0000
Nd 0.3128 0.8128 0.3266
Nd 0.5138 0.3128 0.3266
Nd 0.0138 0.5138 0.3266
Nd 0.1872 0.9862 0.6734
Nd 0.8128 0.0138 0.3266
Nd 0.4862 0.6872 0.6734
Nd 0.0000 0.0000 0.0000
Tm 0.3536 0.8536 0.0000
Tm 0.6464 0.1464 0.0000
Tm 0.8536 0.6464 0.0000
Tm 0.1464 0.3536 0.0000
Tb 0.7500 0.7500 0.5000
Tb 0.2500 0.2500 0.5000

=====

Entry 14:
Tb3Nd2Tm7: optimized geometry, GGA-PBE.

Cell: 3.5927 5.6391 19.0141 Å, 98.53 90.00 90.00°
Positions (direct):
Tm 0.0000 0.2304 0.4608
Tm 0.0000 0.4113 0.8226
Tm 0.5000 0.9295 0.8590
Tm 0.5000 0.0705 0.1410
Tm 0.0000 0.7696 0.5392
Tm 0.0000 0.0000 0.0000
Tm 0.0000 0.5887 0.1774
Tb 0.5000 0.6862 0.3724
Tb 0.5000 0.3138 0.6276
Tb 0.5000 0.5000 0.0000
Nd 0.0000 0.8534 0.7068
Nd 0.0000 0.1466 0.2932

=====

Entry 15:
Tb2Nd4Tm3: optimized geometry, GGA-PBE.

Cell: 5.0890 6.2002 10.7673 Å, 73.52 89.99 65.81°
Positions (direct):
Nd 0.0014 0.9971 0.3336
Nd 0.3334 0.3330 0.1119
Nd 0.6666 0.6670 0.8881
Nd 0.9986 0.0029 0.6664
Tm 0.0000 0.0000 0.0000
Tm 0.6660 0.6680 0.5537
Tm 0.3340 0.3320 0.4463
Tb 0.3321 0.3359 0.7753
Tb 0.6679 0.6641 0.2247

=====

Entry 16:
Tb3NdTm2: optimized geometry, GGA-PBE.

Cell: 7.1093 6.1549 9.4075 Å, 89.88 112.20 90.00°
Positions (direct):
Tb 0.0426 0.0848 0.3367
Tb 0.7059 0.4152 0.6633
Tb 0.3764 0.7500 0.0000
Tb 0.6236 0.2500 0.0000
Tb 0.2941 0.5848 0.3367
Tb 0.9574 0.9152 0.6633
Nd 0.1259 0.2500 0.0000
Nd 0.8741 0.7500 0.0000
Tm 0.7918 0.5827 0.3352
Tm 0.5434 0.0827 0.3352
Tm 0.2082 0.4173 0.6648
Tm 0.4566 0.9173 0.6648

=====

Entry 17:
TbNd3Tm2: optimized geometry, GGA-PBE.

Cell: 5.7317 9.3223 9.8450 Å, 125.09 90.00 107.90°
Positions (direct):
Nd 0.3865 0.7731 0.3400
Nd 0.6135 0.2269 0.6600
Nd 0.3069 0.6138 0.6099
Nd 0.0418 0.0836 0.3724
Nd 0.6931 0.3862 0.3901
Nd 0.9582 0.9164 0.6276
Tb 0.1360 0.2720 0.1269
Tb 0.8640 0.7280 0.8731
Tm 0.7779 0.5558 0.1238
Tm 0.2221 0.4442 0.8762
Tm 0.5433 0.0866 0.9031
Tm 0.4567 0.9134 0.0969

=====

Entry 18:
Tb4Nd4Tm3: optimized geometry, GGA-PBE.

Cell: 3.5352 5.6715 18.1260 Å, 81.00 84.40 90.00°
Positions (direct):
Tb 0.3196 0.8199 0.3602
Tb 0.4541 0.4542 0.0909
Tb 0.5459 0.5458 0.9090
Tb 0.6805 0.1801 0.6398
Tm 0.0000 0.0000 0.0000
Tm 0.1357 0.6356 0.7294
Tm 0.8643 0.3644 0.2706
Nd 0.5904 0.0905 0.8197
Nd 0.4096 0.9095 0.1804
Nd 0.7315 0.7317 0.5368
Nd 0.2686 0.2683 0.4632

=====

Entry 19:
TbNd2Tm: optimized geometry, GGA-PBE.

Cell: 3.6108 3.6108 10.1390 Å, 90.00 90.00 90.00°
Positions (direct):
Tm 0.5000 0.5000 0.0000
Nd 0.0000 0.0000 0.2476
Nd 0.0000 0.0000 0.7524
Tb 0.5000 0.5000 0.5000

=====

Entry 20:
Tb3Nd6Tm2: optimized geometry, GGA-PBE.

Cell: 6.8702 6.1509 12.0142 Å, 104.67 54.98 116.89°
Positions (direct):
Tb 0.1855 0.9794 0.6339
Tb 0.0000 0.0000 0.0000
Tb 0.8145 0.0206 0.3661
Nd 0.6299 0.1085 0.7266
Nd 0.2720 0.4356 0.4529
Nd 0.9205 0.5004 0.1848
Nd 0.3701 0.8915 0.2734
Nd 0.0795 0.4996 0.8152
Nd 0.7280 0.5644 0.5471
Tm 0.5495 0.6863 0.9012
Tm 0.4505 0.3137 0.0988

=====

| no. | magnetization (Bohr magnetons per cell) | total DFT energy (no corrections) (hartree per atom) |
| --- | --- | --- |
| 1 | 0.00 | -0.1692 |
| 2 | 0.00 | -0.1717 |
| 3 | 0.00 | -0.1628 |
| 4 | 0.00 | -0.1608 |
| 5 | 0.00 | -0.1702 |
| 6 | 0.00 | -0.1677 |
| 7 | 0.00 | -0.1406 |
| 8 | 0.00 | -0.1639 |
| 9 | 0.00 | -0.1737 |
| 10 | 0.00 | -0.1646 |
| 11 | 0.00 | -0.1694 |
| 12 | 0.00 | -0.1635 |
| 13 | 0.64 | -0.1675 |
| 14 | 0.00 | -0.1634 |
| 15 | 0.00 | -0.1698 |
| 16 | 0.00 | -0.1683 |
| 17 | 0.00 | -0.1673 |
| 18 | 0.00 | -0.1681 |
| 19 | 0.00 | -0.1705 |
| 20 | 0.00 | -0.1689 |